First-principles (PBE) data for K3BiS after structural relaxation, as listed in Alexandria.

Cell: 6.0723 6.0723 6.0723 Å, 90.00 90.00 90.00°
Each line ends with the local moment (μB).
Fractional positions:
S1 0.0000 0.0000 0.0000  0.09
K1 0.0000 0.5000 0.0000  0.00
K2 0.0000 0.0000 0.5000  0.00
K3 0.5000 0.0000 0.0000  0.01
Bi1 0.5000 0.5000 0.5000  1.01

- Raw formation energy: -10.7 kcal/mol of atoms
- Total magnetic moment: 2.00 Bohr magnetons per cell
- Energy above the lowest structure with this stoichiometry: 0 meV per atom
- Fermi-level density of states: 0.649 states/eV per atom